1.
TlAg3Hg3: relaxed, PBE-GGA.

Properties
Fermi-level density of states = 2.735 states/eV/f.u.
Mass density = 7.9 g cm⁻³
ΔE_f = 387.5 meV/atom
Space-group type = Pm-3n

Cell lengths 7.7897, 7.7897, 7.7897 Å; angles 90.00, 90.00, 90.00 degrees
Element x y z (fractional)
Tl  0.0000  0.0000  0.0000
Tl  0.5000  0.5000  0.5000
Ag  0.0000  0.2500  0.5000
Ag  0.0000  0.7500  0.5000
Ag  0.2500  0.5000  0.0000
Ag  0.5000  0.0000  0.2500
Ag  0.5000  0.0000  0.7500
Ag  0.7500  0.5000  0.0000
Hg  0.0000  0.5000  0.2500
Hg  0.0000  0.5000  0.7500
Hg  0.2500  0.0000  0.5000
Hg  0.5000  0.2500  0.0000
Hg  0.5000  0.7500  0.0000
Hg  0.7500  0.0000  0.5000

---

2.
Tl3Ag12Hg5: relaxed, PBE-GGA.

Properties
Fermi-level density of states = 8.264 states/eV/f.u.
Mass density = 8.6 g cm⁻³
ΔE_f = 329.0 meV/atom
Space-group type = Ia-3d

Cell lengths 14.2909, 14.2909, 14.2909 Å; angles 109.47, 109.47, 109.47 degrees
Element x y z (fractional)
Tl  0.1250  0.2500  0.3750
Tl  0.1250  0.3750  0.7500
Tl  0.2500  0.3750  0.1250
Tl  0.2500  0.8750  0.6250
Tl  0.3750  0.1250  0.2500
Tl  0.3750  0.7500  0.1250
Tl  0.6250  0.2500  0.8750
Tl  0.6250  0.8750  0.7500
Tl  0.7500  0.1250  0.3750
Tl  0.7500  0.6250  0.8750
Tl  0.8750  0.6250  0.2500
Tl  0.8750  0.7500  0.6250
Ag  0.0742  0.2279  0.1496
Ag  0.0742  0.3463  0.9246
Ag  0.0754  0.6496  0.4216
Ag  0.0754  0.9258  0.6537
Ag  0.0784  0.7279  0.6537
Ag  0.0784  0.8504  0.4246
Ag  0.1496  0.0742  0.2279
Ag  0.1496  0.5754  0.9216
Ag  0.1537  0.2279  0.5784
Ag  0.1537  0.4258  0.5754
Ag  0.2279  0.1496  0.0742
Ag  0.2279  0.5784  0.1537
Ag  0.2721  0.3463  0.9216
Ag  0.2721  0.4258  0.3504
Ag  0.3463  0.9216  0.2721
Ag  0.3463  0.9246  0.0742
Ag  0.3504  0.2721  0.4258
Ag  0.3504  0.5784  0.9246
Ag  0.4216  0.0754  0.6496
Ag  0.4216  0.8463  0.7721
Ag  0.4246  0.0784  0.8504
Ag  0.4246  0.8463  0.5742
Ag  0.4258  0.3504  0.2721
Ag  0.4258  0.5754  0.1537
Ag  0.5742  0.4246  0.8463
Ag  0.5742  0.6496  0.7279
Ag  0.5754  0.1537  0.4258
Ag  0.5754  0.9216  0.1496
Ag  0.5784  0.1537  0.2279
Ag  0.5784  0.9246  0.3504
Ag  0.6496  0.4216  0.0754
Ag  0.6496  0.7279  0.5742
Ag  0.6537  0.0754  0.9258
Ag  0.6537  0.0784  0.7279
Ag  0.7279  0.5742  0.6496
Ag  0.7279  0.6537  0.0784
Ag  0.7721  0.4216  0.8463
Ag  0.7721  0.8504  0.9258
Ag  0.8463  0.5742  0.4246
Ag  0.8463  0.7721  0.4216
Ag  0.8504  0.4246  0.0784
Ag  0.8504  0.9258  0.7721
Ag  0.9216  0.1496  0.5754
Ag  0.9216  0.2721  0.3463
Ag  0.9246  0.0742  0.3463
Ag  0.9246  0.3504  0.5784
Ag  0.9258  0.6537  0.0754
Ag  0.9258  0.7721  0.8504
Hg  0.0000  0.0000  0.0000
Hg  0.0000  0.0000  0.5000
Hg  0.0000  0.5000  0.0000
Hg  0.0000  0.5000  0.5000
Hg  0.1250  0.7500  0.8750
Hg  0.1250  0.8750  0.2500
Hg  0.2500  0.1250  0.8750
Hg  0.2500  0.6250  0.3750
Hg  0.3750  0.2500  0.6250
Hg  0.3750  0.6250  0.7500
Hg  0.5000  0.0000  0.0000
Hg  0.5000  0.0000  0.5000
Hg  0.5000  0.5000  0.0000
Hg  0.5000  0.5000  0.5000
Hg  0.6250  0.3750  0.2500
Hg  0.6250  0.7500  0.3750
Hg  0.7500  0.3750  0.6250
Hg  0.7500  0.8750  0.1250
Hg  0.8750  0.1250  0.7500
Hg  0.8750  0.2500  0.1250

---

3.
Tl6AgHg23: relaxed, PBE-GGA.

Properties
Fermi-level density of states = 7.918 states/eV/f.u.
Mass density = 11.7 g cm⁻³
ΔE_f = 22.3 meV/atom
Space-group type = Fm-3m

Cell lengths 10.6020, 10.6020, 10.6020 Å; angles 60.00, 60.00, 60.00 degrees
Element x y z (fractional)
Tl  0.2133  0.2133  0.7867
Tl  0.2133  0.7867  0.2133
Tl  0.2133  0.7867  0.7867
Tl  0.7867  0.2133  0.2133
Tl  0.7867  0.2133  0.7867
Tl  0.7867  0.7867  0.2133
Ag  0.0000  0.0000  0.0000
Hg  0.0000  0.0000  0.5000
Hg  0.0000  0.5000  0.0000
Hg  0.0000  0.5000  0.5000
Hg  0.1391  0.6203  0.6203
Hg  0.1561  0.1561  0.1561
Hg  0.1561  0.1561  0.5316
Hg  0.1561  0.5316  0.1561
Hg  0.3797  0.3797  0.3797
Hg  0.3797  0.3797  0.8609
Hg  0.3797  0.8609  0.3797
Hg  0.4684  0.8439  0.8439
Hg  0.5000  0.0000  0.0000
Hg  0.5000  0.0000  0.5000
Hg  0.5000  0.5000  0.0000
Hg  0.5000  0.5000  0.5000
Hg  0.5316  0.1561  0.1561
Hg  0.6203  0.1391  0.6203
Hg  0.6203  0.6203  0.1391
Hg  0.6203  0.6203  0.6203
Hg  0.8439  0.4684  0.8439
Hg  0.8439  0.8439  0.4684
Hg  0.8439  0.8439  0.8439
Hg  0.8609  0.3797  0.3797

---

4.
TlAg2Hg2: relaxed, PBE-GGA.

Properties
Fermi-level density of states = 2.148 states/eV/f.u.
Mass density = 11.2 g cm⁻³
ΔE_f = 101.3 meV/atom
Offset from the most stable computed form = 0.032 eV/atom
Space-group type = I4/mmm

Cell lengths 7.7464, 7.7464, 7.7464 Å; angles 149.15, 149.15, 44.20 degrees
Element x y z (fractional)
Tl  0.0000  0.0000  0.0000
Ag  0.2500  0.7500  0.5000
Ag  0.7500  0.2500  0.5000
Hg  0.3954  0.3954  0.0000
Hg  0.6046  0.6046  0.0000

---

5.
Tl3AgHg5: relaxed, PBE-GGA.

Properties
Fermi-level density of states = 4.242 states/eV/f.u.
Mass density = 11.7 g cm⁻³
ΔE_f = 40.4 meV/atom
Space-group type = P6_3/mcm

Cell lengths 9.3940, 9.3940, 6.4287 Å; angles 90.00, 90.00, 120.00 degrees
Element x y z (fractional)
Tl  0.0000  0.3825  0.2500
Tl  0.0000  0.6175  0.7500
Tl  0.3825  0.0000  0.2500
Tl  0.3825  0.3825  0.7500
Tl  0.6175  0.0000  0.7500
Tl  0.6175  0.6175  0.2500
Ag  0.0000  0.0000  0.0000
Ag  0.0000  0.0000  0.5000
Hg  0.0000  0.2710  0.7500
Hg  0.0000  0.7290  0.2500
Hg  0.2710  0.0000  0.7500
Hg  0.2710  0.2710  0.2500
Hg  0.3333  0.6667  0.0000
Hg  0.3333  0.6667  0.5000
Hg  0.6667  0.3333  0.0000
Hg  0.6667  0.3333  0.5000
Hg  0.7290  0.0000  0.2500
Hg  0.7290  0.7290  0.7500

---

6.
TlAgHg: relaxed, PBE-GGA.

Properties
Fermi-level density of states = 0.844 states/eV/f.u.
Mass density = 11.0 g cm⁻³
ΔE_f = 82.6 meV/atom
Offset from the most stable computed form = 0.019 eV/atom
Space-group type = C2/m

Cell lengths 4.7986, 4.7986, 7.7920 Å; angles 90.06, 90.06, 59.94 degrees
Element x y z (fractional)
Tl  0.1667  0.1667  0.1229
Tl  0.8333  0.8333  0.8771
Ag  0.1666  0.1666  0.5514
Ag  0.8334  0.8334  0.4486
Hg  0.5000  0.5000  0.3058
Hg  0.5000  0.5000  0.6942